TiIn2Br after structural relaxation, computed with GGA-PBE.

Computed properties:
size of the total moment = 0.0 μB/f.u.
mass density = 5.9 g cm⁻³
energy above the lowest structure with this stoichiometry = 270.7 meV per atom
symmetry = Fm-3m (225)

Cell: 7.3961 7.3961 7.3961 Å, 90.00 90.00 90.00°
Last column: nearest neighbours and their distance in Å.
Fractional coordinates of all 16 atoms:
1 Ti 0.0000 0.0000 0.0000  8 In 3.20
2 Ti 0.0000 0.5000 0.5000  8 In 3.20
3 Ti 0.5000 0.0000 0.5000  8 In 3.20
4 Ti 0.5000 0.5000 0.0000  8 In 3.20
5 In 0.2500 0.2500 0.2500  4 Br 3.20, 4 Ti 3.20
6 In 0.2500 0.2500 0.7500  4 Br 3.20, 4 Ti 3.20
7 In 0.2500 0.7500 0.2500  4 Br 3.20, 4 Ti 3.20
8 In 0.2500 0.7500 0.7500  4 Br 3.20, 4 Ti 3.20
9 In 0.7500 0.2500 0.2500  4 Br 3.20, 4 Ti 3.20
10 In 0.7500 0.2500 0.7500  4 Br 3.20, 4 Ti 3.20
11 In 0.7500 0.7500 0.2500  4 Br 3.20, 4 Ti 3.20
12 In 0.7500 0.7500 0.7500  4 Br 3.20, 4 Ti 3.20
13 Br 0.0000 0.0000 0.5000  8 In 3.20
14 Br 0.0000 0.5000 0.0000  8 In 3.20
15 Br 0.5000 0.0000 0.0000  8 In 3.20
16 Br 0.5000 0.5000 0.5000  8 In 3.20


Ti2In3Br9 after structural relaxation, computed with GGA-PBE.

Computed properties:
size of the total moment = 2.0 μB/f.u.
mass density = 4.1 g cm⁻³
symmetry = P6_3mc (186)

Cell: 7.5735 7.5735 18.7816 Å, 90.00 90.00 120.00°
Last column: nearest neighbours and their distance in Å.
Fractional coordinates of all 28 atoms:
1 Ti 0.3333 0.6667 0.0000  6 Br 2.53-2.63
2 Ti 0.3333 0.6667 0.1671  6 Br 2.58-2.60
3 Ti 0.6667 0.3333 0.5000  6 Br 2.53-2.63
4 Ti 0.6667 0.3333 0.6671  6 Br 2.58-2.60
5 In 0.0000 0.0000 0.1285  3 Br 3.19
6 In 0.0000 0.0000 0.6285  3 Br 3.19
7 In 0.3333 0.6667 0.3825  3 Br 3.29
8 In 0.3333 0.6667 0.7969  3 Br 3.16
9 In 0.6667 0.3333 0.2969  3 Br 3.16
10 In 0.6667 0.3333 0.8825  3 Br 3.29
11 Br 0.0138 0.5069 0.0850  2 Ti 2.60-2.63
12 Br 0.1740 0.3479 0.2473  1 Ti 2.58
13 Br 0.1743 0.3486 0.9233  1 Ti 2.53
14 Br 0.1740 0.8260 0.2473  1 Ti 2.58
15 Br 0.1743 0.8257 0.9233  1 Ti 2.53
16 Br 0.3479 0.1740 0.7473  1 Ti 2.58
17 Br 0.3486 0.1743 0.4233  1 Ti 2.53
18 Br 0.4931 0.5069 0.0850  2 Ti 2.60-2.63
19 Br 0.4931 0.9862 0.0850  2 Ti 2.60-2.63
20 Br 0.5069 0.0138 0.5850  2 Ti 2.60-2.63
21 Br 0.5069 0.4931 0.5850  2 Ti 2.60-2.63
22 Br 0.6514 0.8257 0.9233  1 Ti 2.53
23 Br 0.6521 0.8260 0.2473  1 Ti 2.58
24 Br 0.8257 0.1743 0.4233  1 Ti 2.53
25 Br 0.8260 0.1740 0.7473  1 Ti 2.58
26 Br 0.8257 0.6514 0.4233  1 Ti 2.53
27 Br 0.8260 0.6521 0.7473  1 Ti 2.58
28 Br 0.9862 0.4931 0.5850  2 Ti 2.60-2.63


Ti3InBr after structural relaxation, computed with GGA-PBE.

Computed properties:
size of the total moment = 1.5 μB/f.u.
mass density = 5.4 g cm⁻³
energy above the lowest structure with this stoichiometry = 0.0 meV per atom
symmetry = Pm-3m (221)

Cell: 4.6936 4.6936 4.6936 Å, 90.00 90.00 90.00°
Last column: nearest neighbours and their distance in Å.
Fractional coordinates of all 5 atoms:
1 Ti 0.0000 0.0000 0.5000  2 Br 2.35
2 Ti 0.0000 0.5000 0.0000  2 Br 2.35
3 Ti 0.5000 0.0000 0.0000  2 Br 2.35
4 In 0.5000 0.5000 0.5000  12 Ti 3.32
5 Br 0.0000 0.0000 0.0000  6 Ti 2.35


Ti3InBr after structural relaxation, computed with GGA-PBE.

Computed properties:
size of the total moment = 6.0 μB/f.u.
mass density = 3.9 g cm⁻³
energy above the lowest structure with this stoichiometry = 705.3 meV per atom
symmetry = Pm-3m (221)

Cell: 5.2322 5.2322 5.2322 Å, 90.00 90.00 90.00°
Last column: nearest neighbours and their distance in Å.
Fractional coordinates of all 5 atoms:
1 Ti 0.0000 0.0000 0.5000  2 In 2.62
2 Ti 0.0000 0.5000 0.0000  2 In 2.62
3 Ti 0.5000 0.0000 0.0000  2 In 2.62
4 In 0.0000 0.0000 0.0000  6 Ti 2.62
5 Br 0.5000 0.5000 0.5000  12 Ti 3.70


TiIn3Br after structural relaxation, computed with GGA-PBE.

Computed properties:
size of the total moment = 0.0 μB/f.u.
mass density = 4.6 g cm⁻³
energy above the lowest structure with this stoichiometry = 599.6 meV per atom
symmetry = Pm-3m (221)

Cell: 5.5487 5.5487 5.5487 Å, 90.00 90.00 90.00°
Last column: nearest neighbours and their distance in Å.
Fractional coordinates of all 5 atoms:
1 Ti 0.0000 0.0000 0.0000  12 In 3.92
2 In 0.0000 0.5000 0.5000  2 Br 2.77
3 In 0.5000 0.0000 0.5000  2 Br 2.77
4 In 0.5000 0.5000 0.0000  2 Br 2.77
5 Br 0.5000 0.5000 0.5000  6 In 2.77


TiTl2InBr6 after structural relaxation, computed with GGA-PBE.

Computed properties:
size of the total moment = 1.0 μB/f.u.
mass density = 4.8 g cm⁻³
symmetry = P1 (1)

Cell: 7.9561 7.9583 8.0661 Å, 60.49 60.51 60.04°
Last column: nearest neighbours and their distance in Å.
Fractional coordinates of all 10 atoms:
1 Ti 0.0000 0.0000 0.0000  6 Br 2.59-2.63
2 Tl 0.2127 0.2130 0.3616  6 Br 3.38-3.39
3 Tl 0.7007 0.7003 0.8983  6 Br 3.34-3.41
4 In 0.4912 0.4913 0.5262  6 Br 3.17-3.37
5 Br 0.1219 0.3200 0.7613  1 Ti 2.63
6 Br 0.2218 0.8736 0.2167  1 Ti 2.59
7 Br 0.3199 0.7970 0.7613  1 Ti 2.63
8 Br 0.6883 0.2217 0.2164  1 Ti 2.59
9 Br 0.7972 0.1216 0.7608  1 Ti 2.63
10 Br 0.8734 0.6884 0.2169  1 Ti 2.59


TiVIn2Br after structural relaxation, computed with GGA-PBE.

Computed properties:
size of the total moment = 1.6 μB/f.u.
mass density = 5.0 g cm⁻³
symmetry = P4/mmm (123)

Cell: 5.6178 5.6178 4.2973 Å, 90.00 90.00 90.00°
Last column: nearest neighbours and their distance in Å.
Fractional coordinates of all 5 atoms:
1 Ti 0.0000 0.0000 0.0000  2 V 2.15
2 V 0.0000 0.0000 0.5000  2 Ti 2.15
3 In 0.0000 0.5000 0.0000  2 Ti 2.81
4 In 0.5000 0.0000 0.0000  2 Ti 2.81
5 Br 0.5000 0.5000 0.5000  8 In 3.54


TiVInBr6 after structural relaxation, computed with GGA-PBE.

Computed properties:
size of the total moment = 4.0 μB/f.u.
mass density = 4.0 g cm⁻³
symmetry = C2 (5)

Cell: 6.8120 6.8120 7.2089 Å, 90.03 90.03 120.01°
Last column: nearest neighbours and their distance in Å.
Fractional coordinates of all 9 atoms:
1 Ti 0.0000 0.0000 0.0000  6 Br 2.61-2.62
2 V 0.3333 0.6667 0.0000  6 Br 2.62
3 In 0.6664 0.3336 0.5000  6 Br 3.30-3.31
4 Br 0.0392 0.3327 0.7930  1 Ti 2.61, 1 V 2.62
5 Br 0.0401 0.7071 0.2074  1 Ti 2.62, 1 V 2.62
6 Br 0.2929 0.9599 0.7926  1 Ti 2.62, 1 V 2.62
7 Br 0.2935 0.3334 0.2074  1 Ti 2.62, 1 V 2.62
8 Br 0.6666 0.7065 0.7926  1 Ti 2.62, 1 V 2.62
9 Br 0.6673 0.9608 0.2070  1 Ti 2.61, 1 V 2.62


TiInWBr2 after structural relaxation, computed with GGA-PBE.

Computed properties:
size of the total moment = 3.2 μB/f.u.
mass density = 5.1 g cm⁻³
symmetry = P4/mmm (123)

Cell: 5.4051 5.4051 5.6012 Å, 90.00 90.00 90.00°
Last column: nearest neighbours and their distance in Å.
Fractional coordinates of all 5 atoms:
1 Ti 0.0000 0.0000 0.0000  4 W 3.82, 8 Br 3.89
2 In 0.5000 0.5000 0.5000  4 Br 2.70, 2 W 2.80
3 W 0.5000 0.5000 0.0000  2 In 2.80
4 Br 0.0000 0.5000 0.5000  2 In 2.70
5 Br 0.5000 0.0000 0.5000  2 In 2.70


TiZnInBr6 after structural relaxation, computed with GGA-PBE.

Computed properties:
size of the total moment = 1.0 μB/f.u.
mass density = 4.0 g cm⁻³
symmetry = P312 (149)

Cell: 6.8484 6.8484 7.1772 Å, 90.00 90.00 120.00°
Last column: nearest neighbours and their distance in Å.
Fractional coordinates of all 9 atoms:
1 Ti 0.0000 0.0000 0.0000  6 Br 2.60
2 Zn 0.3333 0.6667 0.0000  6 Br 2.65
3 In 0.6667 0.3333 0.5000  6 Br 3.31
4 Br 0.0390 0.3271 0.2089  1 Ti 2.60, 1 Zn 2.65
5 Br 0.0390 0.7119 0.7911  1 Ti 2.60, 1 Zn 2.65
6 Br 0.2881 0.3271 0.7911  1 Ti 2.60, 1 Zn 2.65
7 Br 0.2881 0.9610 0.2089  1 Ti 2.60, 1 Zn 2.65
8 Br 0.6729 0.7119 0.2089  1 Ti 2.60, 1 Zn 2.65
9 Br 0.6729 0.9610 0.7911  1 Ti 2.60, 1 Zn 2.65


no.,D(E_F) (states/eV/f.u.),formation energy without anion corrections (kJ/mol of atoms)
1,5.69,41.3
2,7.92,-93.3
3,11.18,33.7
4,3.28,101.8
5,6.68,86.3
6,6.49,-90.3
7,4.64,60.1
8,6.89,-90.1
9,11.06,157.1
10,5.25,-89.1